{
  "formula": "Ac2Nd3Hg4",
  "functional": "GGA-PBE",
  "state": "relaxed",
  "lattice": [[7.3209, 0.0000, 0.0000], [0.0000, 8.8572, 0.0000], [-3.6604, 0.0000, 9.0023]],
  "species": ["Ac", "Ac", "Ac", "Ac", "Nd", "Nd", "Nd", "Nd", "Nd", "Nd", "Hg", "Hg", "Hg", "Hg", "Hg", "Hg", "Hg", "Hg"],
  "fractional_positions": [[0.1006, 0.5830, 0.2012], [0.8994, 0.4170, 0.7988], [0.3994, 0.0830, 0.7988], [0.6006, 0.9170, 0.2012], [0.0000, 0.0000, 0.0000], [0.5000, 0.5000, 0.0000], [0.5179, 0.7500, 0.5358], [0.9821, 0.2500, 0.4642], [0.4821, 0.2500, 0.4642], [0.0179, 0.7500, 0.5358], [0.6929, 0.7500, 0.8858], [0.8071, 0.2500, 0.1142], [0.3071, 0.2500, 0.1142], [0.1929, 0.7500, 0.8858], [0.1744, 0.9682, 0.3489], [0.8256, 0.0318, 0.6511], [0.3256, 0.4682, 0.6511], [0.6744, 0.5318, 0.3489]],
  "sg": "No. 64",
  "total_magnetization_mub_per_cell": 0.00,
  "e_above_lowest_polymorph_mev_per_atom": 49
}